Entry 1:
The following is a SCAN calculation of a crystal of S relaxed with PBEsol, from Alexandria via LeMat-Bulk. Values from VASP.

```
&SYSTEM
  ibrav = 0, nat = 8, ntyp = 1
/
ATOMIC_SPECIES
S 32.06 S.upf
CELL_PARAMETERS angstrom
8.5676 0.0000 0.0000
0.0000 8.5676 0.0000
0.0000 0.0000 4.3169
ATOMIC_POSITIONS crystal
S 0.2240 0.5000 0.3285
S 0.3049 0.3049 0.5515
S 0.3049 0.6951 0.5515
S 0.5000 0.2240 0.3285
S 0.5000 0.7760 0.3285
S 0.6951 0.3049 0.5515
S 0.6951 0.6951 0.5515
S 0.7760 0.5000 0.3285
```

Computed properties:
**Total DFT energy (no corrections)**: -9.593 eV per atom
**Density**: 1.34 g/cm3
**Symmetry**: P4mm
**Relative energy among the computed polymorphs**: 0.035 eV per atom
**Uncorrected formation energy**: 0.03 eV/atom

Entry 2:
The following is a SCAN calculation of a crystal of S relaxed with PBEsol, from Alexandria via LeMat-Bulk. Values from VASP.

```
&SYSTEM
  ibrav = 0, nat = 32, ntyp = 1
/
ATOMIC_SPECIES
S 32.06 S.upf
CELL_PARAMETERS angstrom
-6.1527 2.6664 -4.8162
1.5098 -7.4616 -3.1947
-5.7094 -2.4669 11.5716
ATOMIC_POSITIONS crystal
S 0.8839 0.2267 0.6479
S 0.5788 0.2360 0.3521
S 0.7733 0.1161 0.3521
S 0.7640 0.4212 0.6479
S 0.3661 0.5233 0.8521
S 0.6712 0.5140 0.1479
S 0.4767 0.6339 0.1479
S 0.4860 0.3288 0.8521
S 0.8183 0.1021 0.7552
S 0.3469 0.0631 0.2448
S 0.8979 0.1817 0.2448
S 0.9369 0.6531 0.7552
S 0.4317 0.6479 0.7448
S 0.9031 0.6869 0.2552
S 0.3521 0.5683 0.2552
S 0.3131 0.0969 0.7448
S 0.0166 0.2028 0.9039
S 0.2989 0.1127 0.0961
S 0.7972 0.9834 0.0961
S 0.8873 0.7011 0.9039
S 0.2334 0.5472 0.5961
S 0.9511 0.6373 0.4039
S 0.4528 0.7666 0.4039
S 0.3627 0.0489 0.5961
S 0.9503 0.3831 0.0126
S 0.3705 0.9377 0.9874
S 0.6169 0.0497 0.9874
S 0.0623 0.6295 0.0126
S 0.2997 0.3669 0.4874
S 0.8795 0.8123 0.5126
S 0.6331 0.7003 0.5126
S 0.1877 0.1205 0.4874
```

Computed properties:
**Total DFT energy (no corrections)**: -9.628 eV per atom
**Density**: 2.12 g/cm3
**Symmetry**: Fddd
**Relative energy among the computed polymorphs**: 0.000 eV per atom
**Uncorrected formation energy**: 0.00 eV/atom

Entry 3:
The following is a SCAN calculation of a crystal of S relaxed with PBEsol, from Alexandria via LeMat-Bulk. Values from VASP.

```
&SYSTEM
  ibrav = 0, nat = 6, ntyp = 1
/
ATOMIC_SPECIES
S 32.06 S.upf
CELL_PARAMETERS angstrom
4.2746 0.0000 0.0000
-1.4249 6.0113 0.0000
-1.4249 -3.0056 5.2059
ATOMIC_POSITIONS crystal
S 0.7416 0.8899 0.6496
S 0.0920 0.3504 0.2403
S 0.8517 0.7597 0.1101
S 0.2584 0.1101 0.3504
S 0.9080 0.6496 0.7597
S 0.1483 0.2403 0.8899
```

Computed properties:
**Total DFT energy (no corrections)**: -9.574 eV per atom
**Density**: 2.39 g/cm3
**Symmetry**: R-3
**Relative energy among the computed polymorphs**: 0.054 eV per atom
**Uncorrected formation energy**: 0.05 eV/atom

Q: Which of these has the lowest total DFT energy (no corrections)?
A: number 2